# GGA-PBE SrW2Se, relaxed
# symmetry	No. 47
data_SrW2Se
_cell_length_a 3.319
_cell_length_b 4.506
_cell_length_c 5.582
_cell_angle_alpha 90.00
_cell_angle_beta 90.00
_cell_angle_gamma 90.00
_symmetry_space_group_name_H-M 'P 1'
_symmetry_Int_Tables_number 1
_symmetry_space_group_name_Hall 'P 1'
loop_
_atom_site_label
_atom_site_fract_x
_atom_site_fract_y
_atom_site_fract_z
_atom_site_occupancy
Se1 0.500 0.000 0.500 1
W1 0.000 0.000 0.000 1
W2 0.500 0.500 0.000 1
Sr1 0.000 0.500 0.500 1

# GGA-PBE SrW2Se, relaxed
# symmetry	No. 99
data_SrW2Se
_cell_length_a 3.361
_cell_length_b 3.361
_cell_length_c 7.594
_cell_angle_alpha 90.00
_cell_angle_beta 90.00
_cell_angle_gamma 90.00
_symmetry_space_group_name_H-M 'P 1'
_symmetry_Int_Tables_number 1
_symmetry_space_group_name_Hall 'P 1'
loop_
_atom_site_label
_atom_site_fract_x
_atom_site_fract_y
_atom_site_fract_z
_atom_site_occupancy
Sr1 0.500 0.500 0.745 1
W1 0.000 0.000 0.073 1
W2 0.500 0.500 0.231 1
Se1 0.000 0.000 0.451 1

# GGA-PBE SrWSe2, relaxed
# symmetry	No. 99
# offset from the most stable computed form	34.8	kJ/mol of atoms
data_SrWSe2
_cell_length_a 3.639
_cell_length_b 3.639
_cell_length_c 7.703
_cell_angle_alpha 90.00
_cell_angle_beta 90.00
_cell_angle_gamma 90.00
_symmetry_space_group_name_H-M 'P 1'
_symmetry_Int_Tables_number 1
_symmetry_space_group_name_Hall 'P 1'
loop_
_atom_site_label
_atom_site_fract_x
_atom_site_fract_y
_atom_site_fract_z
_atom_site_occupancy
Se1 0.500 0.500 0.264 1
Se2 0.000 0.000 0.843 1
W1 0.500 0.500 0.939 1
Sr1 0.000 0.000 0.454 1

# GGA-PBE SrW2Se, relaxed
# symmetry	No. 123
data_SrW2Se
_cell_length_a 3.075
_cell_length_b 3.075
_cell_length_c 8.594
_cell_angle_alpha 90.00
_cell_angle_beta 90.00
_cell_angle_gamma 90.01
_symmetry_space_group_name_H-M 'P 1'
_symmetry_Int_Tables_number 1
_symmetry_space_group_name_Hall 'P 1'
loop_
_atom_site_label
_atom_site_fract_x
_atom_site_fract_y
_atom_site_fract_z
_atom_site_occupancy
Se1 0.500 0.500 0.250 1
Sr1 0.500 0.500 0.750 1
W1 0.000 0.000 0.432 1
W2 0.000 0.000 0.068 1

# GGA-PBE SrWSe2, relaxed
# symmetry	No. 8
# offset from the most stable computed form	8.7	kJ/mol of atoms
data_SrWSe2
_cell_length_a 4.657
_cell_length_b 4.657
_cell_length_c 6.681
_cell_angle_alpha 74.49
_cell_angle_beta 74.49
_cell_angle_gamma 43.98
_symmetry_space_group_name_H-M 'P 1'
_symmetry_Int_Tables_number 1
_symmetry_space_group_name_Hall 'P 1'
loop_
_atom_site_label
_atom_site_fract_x
_atom_site_fract_y
_atom_site_fract_z
_atom_site_occupancy
Sr1 0.530 0.530 0.502 1
W1 0.263 0.263 0.069 1
Se1 0.755 0.755 0.785 1
Se2 0.951 0.951 0.144 1

# GGA-PBE SrW4Se, relaxed
# symmetry	No. 216
data_SrW4Se
_cell_length_a 5.528
_cell_length_b 5.528
_cell_length_c 5.528
_cell_angle_alpha 60.00
_cell_angle_beta 60.00
_cell_angle_gamma 60.00
_symmetry_space_group_name_H-M 'P 1'
_symmetry_Int_Tables_number 1
_symmetry_space_group_name_Hall 'P 1'
loop_
_atom_site_label
_atom_site_fract_x
_atom_site_fract_y
_atom_site_fract_z
_atom_site_occupancy
Se1 0.750 0.750 0.750 1
W1 0.376 0.376 0.376 1
W2 0.872 0.376 0.376 1
W3 0.376 0.376 0.872 1
W4 0.376 0.872 0.376 1
Sr1 0.000 0.000 0.000 1

# GGA-PBE SrWSe2, relaxed
# symmetry	No. 44
# offset from the most stable computed form	13.2	kJ/mol of atoms
data_SrWSe2
_cell_length_a 7.381
_cell_length_b 7.381
_cell_length_c 7.381
_cell_angle_alpha 152.84
_cell_angle_beta 151.19
_cell_angle_gamma 40.01
_symmetry_space_group_name_H-M 'P 1'
_symmetry_Int_Tables_number 1
_symmetry_space_group_name_Hall 'P 1'
loop_
_atom_site_label
_atom_site_fract_x
_atom_site_fract_y
_atom_site_fract_z
_atom_site_occupancy
W1 0.797 0.297 0.500 1
Se1 0.932 0.932 0.000 1
Se2 0.222 0.722 0.500 1
Sr1 0.549 0.549 0.000 1

# GGA-PBE SrW2Se, relaxed
# symmetry	No. 8
data_SrW2Se
_cell_length_a 4.594
_cell_length_b 4.594
_cell_length_c 6.538
_cell_angle_alpha 80.38
_cell_angle_beta 80.38
_cell_angle_gamma 42.53
_symmetry_space_group_name_H-M 'P 1'
_symmetry_Int_Tables_number 1
_symmetry_space_group_name_Hall 'P 1'
loop_
_atom_site_label
_atom_site_fract_x
_atom_site_fract_y
_atom_site_fract_z
_atom_site_occupancy
Sr1 0.246 0.246 0.261 1
W1 0.749 0.749 0.766 1
W2 0.021 0.021 0.894 1
Se1 0.484 0.484 0.578 1

# GGA-PBE SrWSe2, relaxed
# symmetry	No. 166
# offset from the most stable computed form	59.8	kJ/mol of atoms
data_SrWSe2
_cell_length_a 8.329
_cell_length_b 8.329
_cell_length_c 8.329
_cell_angle_alpha 32.99
_cell_angle_beta 32.99
_cell_angle_gamma 32.99
_symmetry_space_group_name_H-M 'P 1'
_symmetry_Int_Tables_number 1
_symmetry_space_group_name_Hall 'P 1'
loop_
_atom_site_label
_atom_site_fract_x
_atom_site_fract_y
_atom_site_fract_z
_atom_site_occupancy
Se1 0.897 0.897 0.897 1
Se2 0.103 0.103 0.103 1
Sr1 0.500 0.500 0.500 1
W1 0.000 0.000 0.000 1

# GGA-PBE SrWSe2, relaxed
# symmetry	No. 99
# offset from the most stable computed form	47.8	kJ/mol of atoms
data_SrWSe2
_cell_length_a 3.276
_cell_length_b 3.276
_cell_length_c 9.304
_cell_angle_alpha 90.00
_cell_angle_beta 90.00
_cell_angle_gamma 90.00
_symmetry_space_group_name_H-M 'P 1'
_symmetry_Int_Tables_number 1
_symmetry_space_group_name_Hall 'P 1'
loop_
_atom_site_label
_atom_site_fract_x
_atom_site_fract_y
_atom_site_fract_z
_atom_site_occupancy
Sr1 0.000 0.000 0.508 1
Se1 0.500 0.500 0.282 1
Se2 0.000 0.000 0.917 1
W1 0.500 0.500 0.793 1

# GGA-PBE SrWSe2, relaxed
# symmetry	No. 216
# offset from the most stable computed form	123.1	kJ/mol of atoms
data_SrWSe2
_cell_length_a 5.150
_cell_length_b 5.150
_cell_length_c 5.150
_cell_angle_alpha 60.00
_cell_angle_beta 60.00
_cell_angle_gamma 60.00
_symmetry_space_group_name_H-M 'P 1'
_symmetry_Int_Tables_number 1
_symmetry_space_group_name_Hall 'P 1'
loop_
_atom_site_label
_atom_site_fract_x
_atom_site_fract_y
_atom_site_fract_z
_atom_site_occupancy
W1 0.750 0.750 0.750 1
Se1 0.000 0.000 0.000 1
Se2 0.250 0.250 0.250 1
Sr1 0.500 0.500 0.500 1

# GGA-PBE SrWSe2, relaxed
# symmetry	No. 166
# offset from the most stable computed form	0.0	kJ/mol of atoms
data_SrWSe2
_cell_length_a 6.715
_cell_length_b 6.715
_cell_length_c 6.715
_cell_angle_alpha 35.70
_cell_angle_beta 35.70
_cell_angle_gamma 35.70
_symmetry_space_group_name_H-M 'P 1'
_symmetry_Int_Tables_number 1
_symmetry_space_group_name_Hall 'P 1'
loop_
_atom_site_label
_atom_site_fract_x
_atom_site_fract_y
_atom_site_fract_z
_atom_site_occupancy
W1 0.750 0.750 0.750 1
Sr1 0.250 0.250 0.250 1
Se1 0.482 0.482 0.482 1
Se2 0.018 0.018 0.018 1

# GGA-PBE SrW2Se, relaxed
# symmetry	No. 71
data_SrW2Se
_cell_length_a 6.290
_cell_length_b 6.290
_cell_length_c 6.290
_cell_angle_alpha 151.07
_cell_angle_beta 136.62
_cell_angle_gamma 52.98
_symmetry_space_group_name_H-M 'P 1'
_symmetry_Int_Tables_number 1
_symmetry_space_group_name_Hall 'P 1'
loop_
_atom_site_label
_atom_site_fract_x
_atom_site_fract_y
_atom_site_fract_z
_atom_site_occupancy
Sr1 0.250 0.750 0.500 1
W1 0.972 0.972 0.000 1
W2 0.528 0.528 0.000 1
Se1 0.750 0.250 0.500 1

# GGA-PBE SrW3Se, relaxed
# symmetry	No. 221
# offset from the most stable computed form	223.6	kJ/mol of atoms
data_SrW3Se
_cell_length_a 4.873
_cell_length_b 4.873
_cell_length_c 4.873
_cell_angle_alpha 90.00
_cell_angle_beta 90.00
_cell_angle_gamma 90.00
_symmetry_space_group_name_H-M 'P 1'
_symmetry_Int_Tables_number 1
_symmetry_space_group_name_Hall 'P 1'
loop_
_atom_site_label
_atom_site_fract_x
_atom_site_fract_y
_atom_site_fract_z
_atom_site_occupancy
W1 0.500 0.000 0.000 1
W2 0.000 0.500 0.000 1
W3 0.000 0.000 0.500 1
Sr1 0.000 0.000 0.000 1
Se1 0.500 0.500 0.500 1

no.,formation energy (no corrections) (eV per atom),density (g/cm3)
1,0.77,10.63
2,0.26,10.34
3,-0.16,6.99
4,1.02,10.92
5,-0.43,7.40
6,0.93,12.54
7,-0.39,8.07
8,0.38,9.67
9,0.10,4.68
10,-0.03,7.14
11,0.75,7.38
12,-0.52,7.74
13,0.63,10.79
14,3.77,10.31